Computed, not measured: crystalline OsRu at its relaxed geometry at the PBE-GGA level of DFT.

a = 3.8464 Å, b = 3.8464 Å, c = 4.6889 Å
α = 65.79°, β = 65.79°, γ = 90.00°
Fractional coordinates of all 4 atoms:
Ru: 0.2500 0.7500 0.5000
Os: 0.0000 0.0000 0.0000
Os: 0.7500 0.2500 0.5000
Ru: 0.5000 0.5000 0.0000

## Properties
As for the space-group type: No. 141. The formation energy from the elements comes out at 117 meV per atom. The value obtained for the total moment is 0.00 μB per formula unit. The value obtained for the total DFT energy (no corrections) is -10.14 eV per atom.

=====

Computed, not measured: crystalline Y2Ga5IrRh2 at its relaxed geometry at the PBE-GGA level of DFT.

a = 3.8384 Å, b = 9.6261 Å, c = 9.6261 Å
α = 90.00°, β = 90.00°, γ = 90.00°
Fractional coordinates of all 20 atoms:
Ir: 0.0000 0.0000 0.0000
Y: 0.0000 0.6833 0.1833
Ir: 0.0000 0.5000 0.5000
Rh: 0.0000 0.3838 0.1162
Ga: 0.5000 0.0516 0.8058
Rh: 0.0000 0.1162 0.6162
Ga: 0.5000 0.4484 0.3058
Ga: 0.5000 0.8058 0.9484
Ga: 0.5000 0.6942 0.4484
Ga: 0.5000 0.9484 0.1942
Y: 0.0000 0.8167 0.6833
Ga: 0.5000 0.5000 0.0000
Ga: 0.5000 0.3058 0.5516
Rh: 0.0000 0.6162 0.8838
Ga: 0.5000 0.1942 0.0516
Ga: 0.5000 0.0000 0.5000
Ga: 0.5000 0.5516 0.6942
Y: 0.0000 0.3167 0.8167
Rh: 0.0000 0.8838 0.3838
Y: 0.0000 0.1833 0.3167

## Properties
As for the space-group type: No. 127. The formation energy from the elements comes out at -578 meV per atom. The value obtained for the total moment is 0.00 μB per formula unit. The value obtained for the total DFT energy (no corrections) is -5.74 eV per atom.

=====

Computed, not measured: crystalline CsHgH at its relaxed geometry at the PBE-GGA level of DFT.

a = 6.5294 Å, b = 4.1498 Å, c = 6.7613 Å
α = 90.00°, β = 90.00°, γ = 90.00°
Fractional coordinates of all 6 atoms:
Cs: 0.2500 0.0000 0.2499
Cs: 0.7500 0.0000 0.7501
Hg: 0.2500 0.5000 0.7650
Hg: 0.7500 0.5000 0.2350
H: 0.0000 0.5000 0.0000
H: 0.5000 0.5000 0.0000

## Properties
As for the space-group type: No. 51. The value obtained for the total moment is 0.00 μB per formula unit. The value obtained for the total DFT energy (no corrections) is -1.63 eV per atom.